# Cs2InSnTe4 (PBE, relaxed)
data_Cs2InSnTe4
_symmetry_space_group_name_H-M 'P 1'
_symmetry_Int_Tables_number 1
_symmetry_space_group_name_Hall 'P 1'
_cell_length_a 7.186
_cell_length_b 8.757
_cell_length_c 13.715
_cell_angle_alpha 83.83
_cell_angle_beta 74.81
_cell_angle_gamma 65.78
loop_
_atom_site_label
_atom_site_type_symbol
_atom_site_fract_x
_atom_site_fract_y
_atom_site_fract_z
Cs1 Cs 0.184 0.000 0.633
Cs2 Cs 0.816 0.000 0.367
Cs3 Cs 0.566 0.500 0.867
Cs4 Cs 0.934 0.500 0.133
In1 In 0.750 0.500 0.500
In2 In 0.000 0.000 0.000
Sn1 Sn 0.250 0.500 0.500
Sn2 Sn 0.500 0.000 0.000
Te1 Te 0.282 0.796 0.119
Te2 Te 0.197 0.204 0.881
Te3 Te 0.922 0.796 0.881
Te4 Te 0.599 0.204 0.119
Te5 Te 0.468 0.704 0.381
Te6 Te 0.553 0.296 0.619
Te7 Te 0.828 0.704 0.619
Te8 Te 0.151 0.296 0.381
# VASP energy   -3.250 eV per atom
# Magnetization   0.00 Bohr magnetons per cell
# D(E_F)   0.696 states/eV per atom
# E_form (uncorrected)   -623.2 meV/atom

---

# Cs2Tl2InSn (PBE, relaxed)
data_Cs2Tl2InSn
_symmetry_space_group_name_H-M 'P 1'
_symmetry_Int_Tables_number 1
_symmetry_space_group_name_Hall 'P 1'
_cell_length_a 7.119
_cell_length_b 7.042
_cell_length_c 11.021
_cell_angle_alpha 108.63
_cell_angle_beta 108.84
_cell_angle_gamma 90.00
loop_
_atom_site_label
_atom_site_type_symbol
_atom_site_fract_x
_atom_site_fract_y
_atom_site_fract_z
Cs1 Cs 0.418 0.169 0.338
Cs2 Cs 0.582 0.831 0.662
Cs3 Cs 0.080 0.331 0.662
Cs4 Cs 0.920 0.669 0.338
Tl1 Tl 0.853 0.103 0.206
Tl2 Tl 0.353 0.603 0.206
Tl3 Tl 0.647 0.397 0.794
Tl4 Tl 0.147 0.897 0.794
In1 In 0.500 0.750 0.000
In2 In 0.500 0.250 0.000
Sn1 Sn 0.000 0.750 0.000
Sn2 Sn 0.000 0.250 0.000
# VASP energy   -2.340 eV per atom
# Magnetization   0.00 Bohr magnetons per cell
# D(E_F)   0.644 states/eV per atom
# Formation energy from the elements   -14 kJ per mole of atoms

---

# Cs2TlIn4Sn3 (PBE, relaxed)
data_Cs2TlIn4Sn3
_symmetry_space_group_name_H-M 'P 1'
_symmetry_Int_Tables_number 1
_symmetry_space_group_name_Hall 'P 1'
_cell_length_a 5.297
_cell_length_b 5.297
_cell_length_c 12.261
_cell_angle_alpha 90.00
_cell_angle_beta 90.00
_cell_angle_gamma 90.00
loop_
_atom_site_label
_atom_site_type_symbol
_atom_site_fract_x
_atom_site_fract_y
_atom_site_fract_z
Cs1 Cs 0.500 0.000 0.246
Cs2 Cs 0.000 0.500 0.754
Tl1 Tl 0.500 0.500 0.500
In1 In 0.500 0.500 0.000
In2 In 0.000 0.000 0.000
In3 In 0.500 0.000 0.632
In4 In 0.000 0.500 0.368
Sn1 Sn 0.000 0.000 0.500
Sn2 Sn 0.500 0.000 0.874
Sn3 Sn 0.000 0.500 0.126
# VASP energy   -2.862 eV per atom
# Magnetization   0.00 Bohr magnetons per cell
# D(E_F)   0.272 states/eV per atom
# Formation energy from the elements   -15 kJ per mole of atoms

---

# CsTl4In2Sn (PBE, relaxed)
data_CsTl4In2Sn
_symmetry_space_group_name_H-M 'P 1'
_symmetry_Int_Tables_number 1
_symmetry_space_group_name_Hall 'P 1'
_cell_length_a 5.498
_cell_length_b 5.498
_cell_length_c 11.225
_cell_angle_alpha 75.82
_cell_angle_beta 75.82
_cell_angle_gamma 60.00
loop_
_atom_site_label
_atom_site_type_symbol
_atom_site_fract_x
_atom_site_fract_y
_atom_site_fract_z
Cs1 Cs 0.000 0.000 0.000
Tl1 Tl 0.404 0.404 0.788
Tl2 Tl 0.868 0.868 0.396
Tl3 Tl 0.132 0.132 0.604
Tl4 Tl 0.596 0.596 0.212
In1 In 0.767 0.767 0.699
In2 In 0.233 0.233 0.301
Sn1 Sn 0.500 0.500 0.500
# VASP energy   -2.497 eV per atom
# Magnetization   0.00 Bohr magnetons per cell
# D(E_F)   0.654 states/eV per atom
# Formation energy from the elements   -2 kJ per mole of atoms

---

# CsTlIn2Sn (PBE, relaxed)
data_CsTlIn2Sn
_symmetry_space_group_name_H-M 'P 1'
_symmetry_Int_Tables_number 1
_symmetry_space_group_name_Hall 'P 1'
_cell_length_a 5.234
_cell_length_b 5.234
_cell_length_c 7.345
_cell_angle_alpha 110.87
_cell_angle_beta 110.87
_cell_angle_gamma 90.00
loop_
_atom_site_label
_atom_site_type_symbol
_atom_site_fract_x
_atom_site_fract_y
_atom_site_fract_z
Cs1 Cs 0.000 0.000 0.000
Tl1 Tl 0.250 0.750 0.500
In1 In 0.618 0.618 0.237
In2 In 0.382 0.382 0.763
Sn1 Sn 0.750 0.250 0.500
# VASP energy   -2.668 eV per atom
# Magnetization   0.00 Bohr magnetons per cell
# D(E_F)   0.446 states/eV per atom
# Formation energy from the elements   -12 kJ per mole of atoms

---

# CsTl5InSn2 (PBE, relaxed)
data_CsTl5InSn2
_symmetry_space_group_name_H-M 'P 1'
_symmetry_Int_Tables_number 1
_symmetry_space_group_name_Hall 'P 1'
_cell_length_a 5.628
_cell_length_b 5.628
_cell_length_c 12.183
_cell_angle_alpha 90.00
_cell_angle_beta 90.00
_cell_angle_gamma 90.00
loop_
_atom_site_label
_atom_site_type_symbol
_atom_site_fract_x
_atom_site_fract_y
_atom_site_fract_z
Cs1 Cs 0.500 0.500 0.500
Tl1 Tl 0.000 0.000 0.500
Tl2 Tl 0.000 0.500 0.857
Tl3 Tl 0.500 0.000 0.143
Tl4 Tl 0.000 0.500 0.143
Tl5 Tl 0.500 0.000 0.857
In1 In 0.000 0.000 0.000
Sn1 Sn 0.000 0.000 0.267
Sn2 Sn 0.000 0.000 0.733
# VASP energy   -2.459 eV per atom
# Magnetization   0.00 Bohr magnetons per cell
# D(E_F)   0.782 states/eV per atom
# Formation energy from the elements   14 kJ per mole of atoms

---

# CsTl2In4Sn (PBE, relaxed)
data_CsTl2In4Sn
_symmetry_space_group_name_H-M 'P 1'
_symmetry_Int_Tables_number 1
_symmetry_space_group_name_Hall 'P 1'
_cell_length_a 5.409
_cell_length_b 5.409
_cell_length_c 11.378
_cell_angle_alpha 76.25
_cell_angle_beta 76.25
_cell_angle_gamma 60.00
loop_
_atom_site_label
_atom_site_type_symbol
_atom_site_fract_x
_atom_site_fract_y
_atom_site_fract_z
Cs1 Cs 0.000 0.000 0.000
Tl1 Tl 0.758 0.758 0.725
Tl2 Tl 0.242 0.242 0.275
In1 In 0.409 0.409 0.774
In2 In 0.865 0.865 0.406
In3 In 0.135 0.135 0.594
In4 In 0.591 0.591 0.226
Sn1 Sn 0.500 0.500 0.500
# VASP energy   -2.579 eV per atom
# Magnetization   0.00 Bohr magnetons per cell
# D(E_F)   0.559 states/eV per atom
# Formation energy from the elements   -1 kJ per mole of atoms

---

# CsSr2In2 (PBE, relaxed)
data_CsSr2In2
_symmetry_space_group_name_H-M 'P 1'
_symmetry_Int_Tables_number 1
_symmetry_space_group_name_Hall 'P 1'
_cell_length_a 10.094
_cell_length_b 10.094
_cell_length_c 3.922
_cell_angle_alpha 90.00
_cell_angle_beta 90.00
_cell_angle_gamma 90.00
loop_
_atom_site_label
_atom_site_type_symbol
_atom_site_fract_x
_atom_site_fract_y
_atom_site_fract_z
Cs1 Cs 0.000 0.000 0.000
Cs2 Cs 0.500 0.500 0.000
Sr1 Sr 0.360 0.860 0.000
Sr2 Sr 0.860 0.640 0.000
Sr3 Sr 0.640 0.140 0.000
Sr4 Sr 0.140 0.360 0.000
In1 In 0.153 0.653 0.500
In2 In 0.653 0.847 0.500
In3 In 0.847 0.347 0.500
In4 In 0.347 0.153 0.500
# VASP energy   -2.138 eV per atom
# Magnetization   0.00 Bohr magnetons per cell
# D(E_F)   0.483 states/eV per atom
# Polymorph energy (0 for the lowest one)   0.000 eV per atom
# Formation energy from the elements   -19 kJ per mole of atoms

---

# CsSr2In (PBE, relaxed)
data_CsSr2In
_symmetry_space_group_name_H-M 'P 1'
_symmetry_Int_Tables_number 1
_symmetry_space_group_name_Hall 'P 1'
_cell_length_a 4.216
_cell_length_b 4.216
_cell_length_c 11.804
_cell_angle_alpha 90.00
_cell_angle_beta 90.00
_cell_angle_gamma 90.00
loop_
_atom_site_label
_atom_site_type_symbol
_atom_site_fract_x
_atom_site_fract_y
_atom_site_fract_z
Cs1 Cs 0.500 0.500 0.500
Sr1 Sr 0.000 0.000 0.839
Sr2 Sr 0.000 0.000 0.161
In1 In 0.500 0.500 0.000
# VASP energy   -1.865 eV per atom
# Magnetization   0.25 Bohr magnetons per cell
# D(E_F)   1.167 states/eV per atom
# Formation energy from the elements   -12 kJ per mole of atoms

---

# Cs2SrIn (PBE, relaxed)
data_Cs2SrIn
_symmetry_space_group_name_H-M 'P 1'
_symmetry_Int_Tables_number 1
_symmetry_space_group_name_Hall 'P 1'
_cell_length_a 10.273
_cell_length_b 10.273
_cell_length_c 10.273
_cell_angle_alpha 95.96
_cell_angle_beta 95.96
_cell_angle_gamma 142.41
loop_
_atom_site_label
_atom_site_type_symbol
_atom_site_fract_x
_atom_site_fract_y
_atom_site_fract_z
Cs1 Cs 0.003 0.375 0.128
Cs2 Cs 0.247 0.875 0.872
Cs3 Cs 0.125 0.997 0.372
Cs4 Cs 0.625 0.753 0.628
Sr1 Sr 0.500 0.500 0.000
Sr2 Sr 0.750 0.250 0.500
In1 In 0.000 0.000 0.000
In2 In 0.250 0.750 0.500
# VASP energy   -1.375 eV per atom
# Magnetization   0.00 Bohr magnetons per cell
# D(E_F)   1.237 states/eV per atom
# Formation energy from the elements   15 kJ per mole of atoms